BaPr2TaN4 | PBE | optimized geometry

Cell lengths 6.7615, 6.7615, 12.6297 Å; angles 90.00, 90.00, 149.07 degrees
Atoms (fractional coordinates):
1 Ba 0.0893 0.9107 0.7500
2 Ba 0.9107 0.0893 0.2500
3 Pr 0.3711 0.6289 0.5341
4 Pr 0.3711 0.6289 0.9659
5 Pr 0.6289 0.3711 0.0341
6 Pr 0.6289 0.3711 0.4659
7 Ta 0.1750 0.8250 0.2500
8 Ta 0.8250 0.1750 0.7500
9 N 0.0000 0.0000 0.0000
10 N 0.0000 0.0000 0.5000
11 N 0.2596 0.7404 0.1256
12 N 0.2596 0.7404 0.3744
13 N 0.4025 0.5975 0.7500
14 N 0.5975 0.4025 0.2500
15 N 0.7404 0.2596 0.6256
16 N 0.7404 0.2596 0.8744

## Properties
The value obtained for the total energy is -8.21 eV/atom.

---

ZrPPt3 | PBE | optimized geometry

Cell lengths 4.5334, 4.5334, 4.5334 Å; angles 90.00, 90.00, 90.00 degrees
Atoms (fractional coordinates):
1 Zr 0.0000 0.0000 0.0000
2 P 0.5000 0.5000 0.5000
3 Pt 0.0000 0.5000 0.5000
4 Pt 0.5000 0.0000 0.5000
5 Pt 0.5000 0.5000 0.0000

## Properties
The calculation puts the formation energy at -257 meV/atom.

---

Tb2Mg3Hg3 | PBE | optimized geometry

Cell lengths 8.8495, 8.8495, 8.8495 Å; angles 33.43, 33.43, 33.43 degrees
Atoms (fractional coordinates):
1 Tb 0.0000 0.0000 0.0000
2 Tb 0.4904 0.4904 0.4904
3 Mg 0.2424 0.2424 0.2424
4 Mg 0.6182 0.6182 0.6182
5 Mg 0.7458 0.7458 0.7458
6 Hg 0.1216 0.1216 0.1216
7 Hg 0.3635 0.3635 0.3635
8 Hg 0.8772 0.8772 0.8772

## Properties
The calculation puts the formation energy at -385 meV/atom.

---

TlCuTeO6 | PBE | optimized geometry

Cell lengths 4.8388, 4.8388, 9.5866 Å; angles 90.00, 90.00, 90.00 degrees
Atoms (fractional coordinates):
1 Tl 0.0000 0.0000 0.0000
2 Tl 0.5000 0.5000 0.5000
3 Cu 0.0000 0.0000 0.3324
4 Cu 0.5000 0.5000 0.8324
5 Te 0.0000 0.0000 0.6654
6 Te 0.5000 0.5000 0.1654
7 O 0.1746 0.1746 0.5023
8 O 0.1981 0.1981 0.8128
9 O 0.2099 0.2099 0.1762
10 O 0.2901 0.7099 0.6762
11 O 0.3019 0.6981 0.3128
12 O 0.3254 0.6746 0.0023
13 O 0.6746 0.3254 0.0023
14 O 0.6981 0.3019 0.3128
15 O 0.7099 0.2901 0.6762
16 O 0.7901 0.7901 0.1762
17 O 0.8019 0.8019 0.8128
18 O 0.8254 0.8254 0.5023

## Properties
The value obtained for the total energy is -5.00 eV/atom.

---

YAl3Br | PBE | optimized geometry

Cell lengths 5.0862, 5.0862, 5.0862 Å; angles 90.00, 90.00, 90.00 degrees
Atoms (fractional coordinates):
1 Y 0.0000 0.0000 0.0000
2 Al 0.0000 0.5000 0.5000
3 Al 0.5000 0.0000 0.5000
4 Al 0.5000 0.5000 0.0000
5 Br 0.5000 0.5000 0.5000

## Properties
The value obtained for the total energy is -3.38 eV/atom.

---

Y2TeBr | PBE | optimized geometry

Cell lengths 3.8289, 5.0623, 5.8556 Å; angles 90.00, 104.94, 90.00 degrees
Atoms (fractional coordinates):
1 Y 0.0000 0.0000 0.0000
2 Y 0.2384 0.5000 0.5360
3 Te 0.7282 0.0000 0.4555
4 Br 0.3653 0.5000 0.0449

## Properties
The value obtained for the total energy is -5.46 eV/atom.

---

Short version: total moment = 0.0 0.0 0.0 3.3 0.0 0.0 μB per cell, in the order given.